An optimized crystal structure of BaLaSi2. Source: Alexandria, functional PBE-GGA.

Its density of states at the Fermi level is 3.3 states/eV/cell. The calculation puts the formation energy (no corrections) at -0.46 eV per atom.

The structure belongs to space group Imm2 (No. 44); the cell edges are 3.9577, 4.7311 and 12.0470 Å and the angles 90.00°, 90.00° and 90.00°. The distinct sites, in fractional coordinates, are Ba at (0.0000, 0.0000, 0.0000), La at (0.0000, 0.5000, 0.2287), Si at (0.0000, 0.0000, 0.4003) and Si at (0.0000, 0.5000, 0.7781).

---

An optimized crystal structure of BaLaSi2. Source: Alexandria, functional PBE-GGA.

Its density of states at the Fermi level is 6.3 states/eV/cell. The calculation puts the formation energy (no corrections) at -0.51 eV per atom.

The structure belongs to space group Amm2 (No. 38); the cell edges are 4.0308, 4.6621 and 12.1973 Å and the angles 90.00°, 90.00° and 90.00°. The distinct sites, in fractional coordinates, are Ba at (0.0000, 0.0000, 0.0000), La at (0.5000, 0.0000, 0.2799), Si at (0.0000, 0.0000, 0.7159) and Si at (0.5000, 0.0000, 0.5972).

---

An optimized crystal structure of BaLa4Si4. Source: Alexandria, functional PBE-GGA.

Its density of states at the Fermi level is 11.8 states/eV/cell. The calculation puts the formation energy (no corrections) at -0.45 eV per atom.

The structure belongs to space group P4_2/n (No. 86, origin choice 2); the cell edges are 9.9517, 9.9517 and 6.0245 Å and the angles 90.00°, 90.00° and 90.00°. The distinct sites, in fractional coordinates, are Ba at (0.2500, 0.2500, 0.2500), La at (0.1158, 0.6310, 0.1256) and Si at (0.0614, 0.5681, 0.6325).

---

An optimized crystal structure of BaLaSi. Source: Alexandria, functional PBE-GGA.

Its density of states at the Fermi level is 5.9 states/eV/cell. The calculation puts the formation energy (no corrections) at -0.38 eV per atom.

The structure belongs to space group P4/nmm (No. 129, origin choice 2); the cell edges are 4.9525, 4.9525 and 8.4577 Å and the angles 90.00°, 90.00° and 90.00°. The distinct sites, in fractional coordinates, are Ba at (0.2500, 0.2500, 0.1306), La at (0.2500, 0.7500, 0.5000) and Si at (0.2500, 0.2500, 0.7303).